Entry 1:
Entry from OQMD via LeMat-Bulk: a relaxed NdHoCd2Cu4 crystal (PBE).

Cell lengths 4.7343, 4.7343, 6.6888 Å; angles 90.00, 90.00, 90.00 degrees
With the nearest neighbours (Å) after each atom.
Space group P4/mmm (No. 123)
Asymmetric unit:
Nd (0.0000, 0.0000, 0.0000) x1  8 Cu 2.95
Ho (0.5000, 0.5000, 0.5000) x1  8 Cu 2.85
Cd (0.0000, 0.0000, 0.5000) x1  8 Cu 2.85
Cd (0.5000, 0.5000, 0.0000) x1  8 Cu 2.95
Cu (0.0000, 0.5000, 0.2623) x4  4 Cd 2.85-2.95, 2 Ho 2.85, 2 Nd 2.95, 1 Cu 3.18

Output
The value obtained for the electronic total energy is -27.5 eV/cell. As for the calculated formation energy: -0.19 eV per atom. Its total magnetic moment is 0.052 Bohr magnetons per cell. Its volume is 150 Å³ per cell.


Entry 2:
Entry from OQMD via LeMat-Bulk: a relaxed TbAlZnNi crystal (PBE).

Cell lengths 9.6401, 4.0875, 7.0931 Å; angles 90.00, 90.30, 90.00 degrees
With the nearest neighbours (Å) after each atom.
Space group C2/m (No. 12)
Asymmetric unit:
Tb (0.0627, 0.0000, 0.2425) x4  3 Ni 2.73-2.93
Al (0.1522, 0.5000, 0.5573) x4  3 Ni 2.45-2.50
Zn (0.1527, 0.5000, 0.9458) x4  3 Ni 2.54-2.60, 1 Al 2.76
Ni (0.2199, 0.0000, 0.7401) x4  3 Al 2.45-2.50, 3 Zn 2.54-2.60, 1 Tb 2.73

Output
The value obtained for the electronic total energy is -69.2 eV/cell. Its total magnetic moment is 0.006 Bohr magnetons per cell. Its volume is 279 Å³ per cell.


Entry 3:
Entry from OQMD via LeMat-Bulk: a relaxed LaPdPb crystal (PBE).

Cell lengths 7.8710, 7.8710, 4.2369 Å; angles 90.00, 90.00, 120.00 degrees
With the nearest neighbours (Å) after each atom.
Space group P-62m (No. 189)
Asymmetric unit:
La (0.0000, 0.5876, 0.0000) x3  5 Pd 3.18-3.25, 6 Pb 3.38-3.54
Pd (0.0000, 0.0000, 0.0000) x1  6 Pb 2.91, 3 La 3.25
Pd (0.3333, 0.6667, 0.5000) x2  3 Pb 2.99, 6 La 3.18
Pb (0.0000, 0.2533, 0.5000) x3  4 Pd 2.91-2.99

Output
The value obtained for the electronic total energy is -48.4 eV/cell. Its total magnetic moment is 0.005 Bohr magnetons per cell. Its volume is 227 Å³ per cell.


Entry 4:
Entry from OQMD via LeMat-Bulk: a relaxed CsNdMo crystal (PBE).

Cell lengths 7.5153, 7.5153, 7.5153 Å; angles 90.00, 90.00, 90.00 degrees
With the nearest neighbours (Å) after each atom.
Space group F-43m (No. 216)
Asymmetric unit:
Cs (0.0000, 0.0000, 0.0000) x4  4 Mo 3.25
Nd (0.0000, 0.0000, 0.5000) x4  4 Mo 3.25
Mo (0.2500, 0.2500, 0.2500) x4  4 Nd 3.25, 4 Cs 3.25

Output
The value obtained for the electronic total energy is -45.4 eV/cell. Its total magnetic moment is 8.595 Bohr magnetons per cell. Its volume is 424 Å³ per cell.


Entry 5:
Entry from OQMD via LeMat-Bulk: a relaxed GdP crystal (PBE).

Cell lengths 5.7263, 5.7263, 5.7263 Å; angles 90.00, 90.00, 90.00 degrees
With the nearest neighbours (Å) after each atom.
Space group Fm-3m (No. 225)
Asymmetric unit:
Gd (0.0000, 0.0000, 0.0000) x4  6 P 2.86
P (0.0000, 0.0000, 0.5000) x4  6 Gd 2.86

Output
The value obtained for the electronic total energy is -53.1 eV/cell. Its total magnetic moment is 0.003 Bohr magnetons per cell. Its volume is 188 Å³ per cell.


Entry 6:
Entry from OQMD via LeMat-Bulk: a relaxed YEr2Ge4Pt4 crystal (PBE).

Cell lengths 4.1677, 7.1215, 13.8635 Å; angles 90.00, 90.00, 90.00 degrees
With the nearest neighbours (Å) after each atom.
Space group Immm (No. 71)
Asymmetric unit:
Y (0.0000, 0.0000, 0.0000) x2  6 Ge 3.05-3.06
Er (0.0000, 0.5000, 0.1254) x4  6 Ge 2.99-3.02, 6 Pt 3.04-3.15
Ge (0.0000, 0.0000, 0.2198) x4  6 Pt 2.58-2.62
Ge (0.0000, 0.1856, 0.5000) x4  2 Pt 2.53, 1 Ge 2.64
Pt (0.0000, 0.2966, 0.3269) x8  4 Ge 2.53-2.62

Output
The value obtained for the electronic total energy is -138.4 eV/cell. Its total magnetic moment is 0.005 Bohr magnetons per cell. Its volume is 411 Å³ per cell.


Entry 7:
Entry from OQMD via LeMat-Bulk: a relaxed Pr2AgGe crystal (PBE).

Cell lengths 6.0062, 4.2560, 8.5026 Å; angles 90.00, 92.79, 90.00 degrees
With the nearest neighbours (Å) after each atom.
Space group P2_1/m (No. 11)
Asymmetric unit:
Pr (0.1278, 0.2500, 0.3112) x2  3 Ge 3.14-3.33, 4 Ag 3.14-3.29
Pr (0.3586, 0.2500, 0.8261) x2  4 Ge 3.12-3.27, 2 Ag 3.24
Ag (0.3574, 0.7500, 0.5380) x2  2 Ag 2.83, 2 Pr 3.14
Ge (0.1429, 0.7500, 0.0399) x2  2 Ge 2.80, 2 Pr 3.12

Output
The value obtained for the electronic total energy is -38.0 eV/cell. Its total magnetic moment is 0.002 Bohr magnetons per cell. Its volume is 217 Å³ per cell.


Entry 8:
Entry from OQMD via LeMat-Bulk: a relaxed CsPu2I6 crystal (PBE).

Cell lengths 8.1348, 8.1348, 8.5820 Å; angles 90.00, 90.00, 120.00 degrees
With the nearest neighbours (Å) after each atom.
Space group P-31m (No. 162)
Asymmetric unit:
Cs (0.0000, 0.0000, 0.0000) x1  6 I 3.91
Pu (0.3333, 0.6667, 0.5000) x2  6 I 3.16
I (0.0000, 0.3774, 0.7175) x6  2 Pu 3.16

Output
The value obtained for the electronic total energy is -49.9 eV/cell. Its total magnetic moment is 11.000 Bohr magnetons per cell. Its volume is 492 Å³ per cell.


Entry 9:
Entry from OQMD via LeMat-Bulk: a relaxed SrSnPPt2 crystal (PBE).

Cell lengths 4.4991, 4.4207, 10.4163 Å; angles 90.00, 90.11, 90.00 degrees
With the nearest neighbours (Å) after each atom.
Space group P2_1/m (No. 11)
Asymmetric unit:
Sr (0.2407, 0.2500, 0.2307) x2  8 Pt 3.16-3.39, 4 P 3.28-3.49
Sn (0.2523, 0.7500, 0.4989) x2  4 Pt 2.77-2.79
P (0.2256, 0.2500, 0.8871) x2  5 Pt 2.37-2.64
Pt (0.2484, 0.2500, 0.6599) x2  1 P 2.37
Pt (0.2934, 0.7500, 0.9961) x2  4 P 2.48-2.64

Output
The value obtained for the electronic total energy is -54.4 eV/cell. Its total magnetic moment is 0.006 Bohr magnetons per cell. Its volume is 207 Å³ per cell.


Entry 10:
Entry from OQMD via LeMat-Bulk: a relaxed RbScPt crystal (PBE).

Cell lengths 6.9630, 6.9630, 6.9630 Å; angles 90.00, 90.00, 90.00 degrees
With the nearest neighbours (Å) after each atom.
Space group F-43m (No. 216)
Asymmetric unit:
Rb (0.0000, 0.0000, 0.0000) x4  4 Pt 3.02
Sc (0.0000, 0.0000, 0.5000) x4  4 Pt 3.02
Pt (0.2500, 0.2500, 0.2500) x4  4 Rb 3.02, 4 Sc 3.02

Output
The value obtained for the electronic total energy is -51.2 eV/cell. Its total magnetic moment is 0.000 Bohr magnetons per cell. Its volume is 338 Å³ per cell.


Entry 11:
Entry from OQMD via LeMat-Bulk: a relaxed SmZrPd crystal (PBE).

Cell lengths 6.6366, 6.6366, 6.6366 Å; angles 90.00, 90.00, 90.00 degrees
With the nearest neighbours (Å) after each atom.
Space group F-43m (No. 216)
Asymmetric unit:
Sm (0.0000, 0.0000, 0.0000) x4  4 Zr 2.87, 4 Pd 2.87
Zr (0.2500, 0.2500, 0.2500) x4  4 Sm 2.87
Pd (0.2500, 0.2500, 0.7500) x4  4 Sm 2.87

Output
The value obtained for the electronic total energy is -67.4 eV/cell. As for the calculated formation energy: 0.52 eV per atom. Its total magnetic moment is 0.020 Bohr magnetons per cell. Its volume is 292 Å³ per cell.


Entry 12:
Entry from OQMD via LeMat-Bulk: a relaxed Li2CdIn crystal (PBE).

Cell lengths 4.7199, 4.7415, 6.7390 Å; angles 90.00, 90.00, 90.00 degrees
With the nearest neighbours (Å) after each atom.
Space group Pmma (No. 51)
Asymmetric unit:
Li (0.2500, 0.0000, 0.1213) x2  4 Li 2.87-2.91, 2 Cd 2.88, 2 In 2.90
Li (0.2500, 0.5000, 0.3720) x2  2 Cd 2.90, 4 Li 2.91-2.92, 2 In 2.94
Cd (0.2500, 0.5000, 0.8786) x2  2 Cd 2.87, 4 Li 2.88-2.90, 2 In 2.90
In (0.2500, 0.0000, 0.6299) x2  4 Li 2.90-2.94, 2 Cd 2.90, 2 In 2.94

Output
The value obtained for the electronic total energy is -17.2 eV/cell. Its volume is 151 Å³ per cell.


Entry 13:
Entry from OQMD via LeMat-Bulk: a relaxed LuCoReGe crystal (PBE).

Cell lengths 6.2846, 6.2846, 6.2846 Å; angles 90.00, 90.00, 90.00 degrees
With the nearest neighbours (Å) after each atom.
Space group F-43m (No. 216)
Asymmetric unit:
Lu (0.0000, 0.0000, 0.0000) x4  4 Re 2.72, 4 Co 2.72
Co (0.2500, 0.2500, 0.7500) x4  4 Lu 2.72, 4 Ge 2.72
Re (0.2500, 0.2500, 0.2500) x4  4 Ge 2.72, 4 Lu 2.72
Ge (0.0000, 0.0000, 0.5000) x4  4 Co 2.72, 4 Re 2.72

Output
The value obtained for the electronic total energy is -112.7 eV/cell. Its total magnetic moment is 2.354 Bohr magnetons per cell. Its volume is 248 Å³ per cell.


Entry 14:
Entry from OQMD via LeMat-Bulk: a relaxed LiFeCuPb crystal (PBE).

Cell lengths 6.2725, 6.2725, 6.2725 Å; angles 90.00, 90.00, 90.00 degrees
With the nearest neighbours (Å) after each atom.
Space group F-43m (No. 216)
Asymmetric unit:
Li (0.0000, 0.0000, 0.0000) x4  4 Fe 2.72, 4 Pb 2.72
Fe (0.2500, 0.2500, 0.7500) x4  4 Li 2.72, 4 Cu 2.72
Cu (0.0000, 0.0000, 0.5000) x4  4 Pb 2.72, 4 Fe 2.72
Pb (0.2500, 0.2500, 0.2500) x4  4 Li 2.72, 4 Cu 2.72

Output
The value obtained for the electronic total energy is -66.0 eV/cell. Its total magnetic moment is 11.316 Bohr magnetons per cell. Its volume is 247 Å³ per cell.


Entry 15:
Entry from OQMD via LeMat-Bulk: a relaxed La2Ho2CBr2Cl3 crystal (PBE).

Cell lengths 17.7118, 3.8028, 7.9942 Å; angles 90.00, 104.61, 90.00 degrees
With the nearest neighbours (Å) after each atom.
Space group C2/m (No. 12)
Asymmetric unit:
La (0.1506, 0.0000, 0.0881) x4  1 C 2.58
Ho (0.0021, 0.5000, 0.7944) x4  2 C 2.52, 1 Cl 2.79
C (0.0000, 0.0000, 0.0000) x2  4 Ho 2.52, 2 La 2.58
Br (0.1597, 0.5000, 0.3803) x4  1 Ho 2.85, 2 La 2.98
Cl (0.0000, 0.0000, 0.5000) x2  4 Ho 3.02
Cl (0.1620, 0.5000, 0.8186) x4  1 Ho 2.79, 2 La 2.92

Output
The value obtained for the electronic total energy is -106.1 eV/cell. Its total magnetic moment is 0.494 Bohr magnetons per cell. Its volume is 521 Å³ per cell.


Entry 16:
Entry from OQMD via LeMat-Bulk: a relaxed LuCoTcAs crystal (PBE).

Cell lengths 6.4529, 6.4529, 6.4529 Å; angles 90.00, 90.00, 90.00 degrees
With the nearest neighbours (Å) after each atom.
Space group F-43m (No. 216)
Asymmetric unit:
Lu (0.0000, 0.0000, 0.0000) x4  4 As 2.79, 4 Tc 2.79
Co (0.0000, 0.0000, 0.5000) x4  4 As 2.79, 4 Tc 2.79
Tc (0.2500, 0.2500, 0.7500) x4  4 Co 2.79, 4 Lu 2.79
As (0.2500, 0.2500, 0.2500) x4  4 Co 2.79, 4 Lu 2.79

Output
The value obtained for the electronic total energy is -103.2 eV/cell. Its total magnetic moment is 15.344 Bohr magnetons per cell. Its volume is 269 Å³ per cell.


Entry 17:
Entry from OQMD via LeMat-Bulk: a relaxed Pr2Zn3Cu crystal (PBE).

Cell lengths 10.4773, 4.5487, 7.2956 Å; angles 90.00, 132.53, 90.00 degrees
With the nearest neighbours (Å) after each atom.
Space group Cm (No. 8)
Asymmetric unit:
Pr (0.0000, 0.0000, 0.0000) x2  3 Cu 3.09-3.15, 9 Zn 3.11-3.31
Pr (0.0607, 0.0000, 0.5640) x2  9 Zn 3.08-3.31, 3 Cu 3.23-3.31
Zn (0.1971, 0.5000, 0.3997) x2  3 Zn 2.63-2.68
Zn (0.3607, 0.0000, 0.1605) x2  2 Cu 2.61, 1 Zn 2.68
Zn (0.3676, 0.0000, 0.5750) x2  2 Zn 2.63, 1 Cu 2.64
Cu (0.1963, 0.5000, 0.9934) x2  3 Zn 2.61-2.64

Output
The value obtained for the electronic total energy is -37.8 eV/cell. As for the calculated formation energy: -0.31 eV per atom. Its total magnetic moment is 0.032 Bohr magnetons per cell. Its volume is 256 Å³ per cell.


Entry 18:
Entry from OQMD via LeMat-Bulk: a relaxed NbSCl3 crystal (PBE).

Cell lengths 6.5368, 13.3824, 12.1710 Å; angles 90.00, 97.98, 90.00 degrees
With the nearest neighbours (Å) after each atom.
Space group C2/c (No. 15)
Asymmetric unit:
Nb (0.0744, 0.0631, 0.1480) x8  5 Cl 2.36-2.60, 2 S 2.47-2.53
S (0.1445, 0.1979, 0.2936) x8  1 S 2.03
Cl (0.1354, 0.3663, 0.9179) x8  1 Nb 2.36
Cl (0.1468, 0.0934, 0.5345) x8  2 Nb 2.51-2.59
Cl (0.2368, 0.0401, 0.8018) x8  2 Nb 2.45-2.60

Output
The value obtained for the electronic total energy is -203.2 eV/cell. Its total magnetic moment is 0.002 Bohr magnetons per cell. Its volume is 1054 Å³ per cell.


Entry 19:
Entry from OQMD via LeMat-Bulk: a relaxed NdFeSi crystal (PBE).

Cell lengths 7.9094, 7.9094, 3.4235 Å; angles 90.00, 90.00, 120.00 degrees
With the nearest neighbours (Å) after each atom.
Space group P-62m (No. 189)
Asymmetric unit:
Nd (0.0000, 0.2854, 0.0000) x3  4 Si 2.83-2.84, 2 Fe 3.03
Fe (0.0000, 0.6023, 0.5000) x3  5 Si 2.97-3.15, 6 Nd 3.03-3.29
Si (0.0000, 0.0000, 0.5000) x1  6 Nd 2.83, 3 Fe 3.15
Si (0.3333, 0.6667, 0.0000) x2  3 Nd 2.84, 6 Fe 2.97

Output
The value obtained for the electronic total energy is -53.2 eV/cell. Its total magnetic moment is 7.371 Bohr magnetons per cell. Its volume is 185 Å³ per cell.


Entry 20:
Entry from OQMD via LeMat-Bulk: a relaxed TaTl3S4 crystal (PBE).

Cell lengths 6.4811, 6.6837, 11.9370 Å; angles 94.19, 97.30, 106.94 degrees
With the nearest neighbours (Å) after each atom.
Space group P1 (No. 1)
Asymmetric unit:
Ta (0.0000, 0.0000, 0.0000) x1  4 S 2.28-2.31
Ta (0.1230, 0.0510, 0.4963) x1  4 S 2.28-2.31
Tl (0.2605, 0.7954, 0.7621) x1  4 S 3.08-3.29
Tl (0.2877, 0.7766, 0.2370) x1  4 S 3.09-3.32
Tl (0.5248, 0.4690, 0.9668) x1  5 S 3.12-3.46
Tl (0.5989, 0.5814, 0.5279) x1  5 S 3.13-3.47
Tl (0.8254, 0.2647, 0.2580) x1  4 S 3.11-3.33
Tl (0.8654, 0.2580, 0.7340) x1  4 S 3.08-3.29
S (0.0093, 0.3447, 0.0121) x1  1 Ta 2.28
S (0.1127, 0.7060, 0.4849) x1  1 Ta 2.28
S (0.2766, 0.2184, 0.3525) x1  1 Ta 2.29
S (0.3071, 0.2231, 0.6714) x1  1 Ta 2.31
S (0.3523, 0.9941, 0.0143) x1  1 Ta 2.28
S (0.7704, 0.0565, 0.4831) x1  1 Ta 2.28
S (0.8179, 0.8294, 0.8244) x1  1 Ta 2.31
S (0.8436, 0.8303, 0.1426) x1  1 Ta 2.29

Output
The value obtained for the electronic total energy is -82.0 eV/cell. Its total magnetic moment is 0.004 Bohr magnetons per cell. Its volume is 487 Å³ per cell.